VASP calculation (PBE with a Hubbard U) on a relaxed K2CoSeF crystal.

The structure in POSCAR format:
```
K2CoSeF
1.0
-1.534 -3.402 -4.847
-0.905 -2.888 2.313
-5.741 2.083 0.354
K Co Se F
2 1 1 1
direct
0.000 0.000 0.500
0.500 0.000 0.000
0.000 0.000 0.000
0.500 0.500 0.500
0.000 0.500 0.000
```

Values from the calculation:
N(E_F), states/eV per cell: 0.697
VASP energy, eV for the cell shown: -16.04